No. 1
Cs4Rb4F | PBE | relaxed

Cell and atoms, written as extended XYZ:
```
18
Lattice="-4.975 -5.239 2.014 10.588 -7.550 6.512 -2.521 7.163 12.404" Properties=species:S:1:pos:R:3 pbc="T T T"
Cs -1.818 -5.227 8.828
Cs 5.229 -4.408 14.397
Cs 4.910 -0.400 12.102
Cs -3.736 -5.064 4.512
Cs 6.828 -0.562 16.418
Cs -2.137 -1.218 6.533
Cs 0.834 -4.596 5.086
Cs 2.258 -1.030 15.845
F -1.714 -4.026 6.240
F 4.806 -1.600 14.691
Rb -3.378 2.603 12.613
Rb 1.655 3.438 13.249
Rb -0.222 3.449 8.644
Rb 3.256 -4.671 9.636
Rb 1.437 -9.064 7.681
Rb 6.469 -8.229 8.317
Rb -0.164 -0.956 11.294
Rb 3.314 -9.075 12.286
```

Calculated values
Calculated total energy   -28.671 eV for the cell shown
Formation energy without anion corrections   -5.18 eV/f.u.
Magnetic moment   0.000 μB/atom
ρ   1.87 g/cm³

---

No. 2
Ce2YCoHg | PBE | relaxed

Cell and atoms, written as extended XYZ:
```
5
Lattice="-0.705 1.961 -4.455 -2.917 -3.775 -1.200 -4.370 2.769 1.910" Properties=species:S:1:pos:R:3 pbc="T T T"
Y -5.101 -2.391 -0.245
Co -4.369 2.768 1.910
Ce -5.828 0.881 1.310
Ce -7.639 -0.026 -1.517
Hg -3.997 0.478 -1.872
```

Calculated values
Calculated total energy   -26.754 eV for the cell shown
Magnetic moment   0.109 μB/atom
ρ   7.82 g/cm³

---

No. 3
NpSnBi | PBE | relaxed

Cell and atoms, written as extended XYZ:
```
3
Lattice="-4.733 -0.419 2.795 4.093 -3.566 0.960 1.160 1.939 2.255" Properties=species:S:1:pos:R:3 pbc="T T T"
Bi 1.731 -1.547 2.700
Sn -1.211 -0.498 3.311
Np 1.160 1.938 2.254
```

Calculated values
Calculated total energy   -20.400 eV for the cell shown
Excess energy over the best structure of this formula in the dataset   166 meV per atom
Magnetic moment   1.576 μB/atom
ρ   11.16 g/cm³

---

No. 4
Si2AsPt | PBE | relaxed

Cell and atoms, written as extended XYZ:
```
4
Lattice="-3.043 0.360 1.708 -0.716 -4.215 -0.387 2.013 -0.685 3.730" Properties=species:S:1:pos:R:3 pbc="T T T"
As -1.880 -1.927 0.660
Si 0.648 -2.450 1.671
Si 0.000 0.000 0.000
Pt -0.515 -0.162 2.719
```

Calculated values
Calculated total energy   -20.429 eV for the cell shown
Formation energy without anion corrections   1.11 eV/f.u.
Magnetic moment   0.000 μB/atom
ρ   8.38 g/cm³

---

Q: Number 2 is which compound?
A: Ce2YCoHg

---

Q: Which of these has the lowest calculated total energy?
A: Cs4Rb4F

---

Please write out number 1 again, unchanged.
Cs4Rb4F | PBE | relaxed

Cell and atoms, written as extended XYZ:
```
18
Lattice="-4.975 -5.239 2.014 10.588 -7.550 6.512 -2.521 7.163 12.404" Properties=species:S:1:pos:R:3 pbc="T T T"
Cs -1.818 -5.227 8.828
Cs 5.229 -4.408 14.397
Cs 4.910 -0.400 12.102
Cs -3.736 -5.064 4.512
Cs 6.828 -0.562 16.418
Cs -2.137 -1.218 6.533
Cs 0.834 -4.596 5.086
Cs 2.258 -1.030 15.845
F -1.714 -4.026 6.240
F 4.806 -1.600 14.691
Rb -3.378 2.603 12.613
Rb 1.655 3.438 13.249
Rb -0.222 3.449 8.644
Rb 3.256 -4.671 9.636
Rb 1.437 -9.064 7.681
Rb 6.469 -8.229 8.317
Rb -0.164 -0.956 11.294
Rb 3.314 -9.075 12.286
```

Calculated values
Calculated total energy   -28.671 eV for the cell shown
Formation energy without anion corrections   -5.18 eV/f.u.
Magnetic moment   0.000 μB/atom
ρ   1.87 g/cm³